(1)
VASP calculation (GGA-PBE) on an optimized crystal structure of BiIrCl2.

The total DFT energy (no corrections) comes out at -3.3720 eV per atom. As for the spin magnetization: 0.5 μB per cell.

a = 4.864 Å, b = 4.864 Å, c = 4.864 Å
α = 60.00°, β = 60.00°, γ = 60.00°
Positions (direct):
1 Bi 0.000 0.000 0.000
2 Ir 0.500 0.500 0.500
3 Cl 0.250 0.250 0.250
4 Cl 0.750 0.750 0.750

***

(2)
VASP calculation (GGA-PBE) on an optimized crystal structure of MnBiIrCl2.

The total DFT energy (no corrections) comes out at -4.7052 eV per atom. As for the spin magnetization: 4.6 μB per cell.

a = 4.694 Å, b = 4.694 Å, c = 5.706 Å
α = 90.00°, β = 90.00°, γ = 90.00°
Positions (direct):
1 Mn 0.000 0.000 0.000
2 Bi 0.500 0.500 0.000
3 Ir 0.500 0.500 0.500
4 Cl 0.000 0.500 0.500
5 Cl 0.500 0.000 0.500